Entry 1:
# Mg14ZrMo

A geometry-optimized Mg14ZrMo structure (PBE, Alexandria).

Results
**Formation enthalpy at 0 K**: 0.094 eV/atom
**Total magnetic moment**: 0.0 μB per formula unit
**E above lowest polymorph**: 0.0000 eV per atom

Structure (extended XYZ):
```
16
Lattice="-2.260 -2.693 -5.312 2.218 -3.367 4.932 -9.354 -0.190 4.076" Properties=species:S:1:pos:R:3 pbc="T T T"
Mg -1.514 -2.805 -3.606
Mg 0.739 -3.145 1.550
Mg -5.027 -1.586 1.165
Mg -0.372 -1.449 -0.920
Mg -5.048 -4.563 0.978
Mg -0.393 -4.503 -1.112
Mg -2.053 -1.647 1.804
Mg -6.580 -1.739 3.777
Mg -2.074 -4.624 1.617
Mg -6.601 -4.716 3.590
Mg -3.098 -2.961 -0.951
Mg -7.841 -3.057 1.116
Mg -1.062 -3.298 4.190
Mg -5.451 -3.387 6.103
Zr -6.155 -2.906 -1.486
Mo -3.933 -3.241 3.597
```


Entry 2:
# Mg2ZrMo

A geometry-optimized Mg2ZrMo structure (PBE, Alexandria).

Results
**Formation enthalpy at 0 K**: 0.654 eV/atom
**Total magnetic moment**: 0.0 μB per formula unit
**E above lowest polymorph**: 0.5099 eV per atom

Structure (extended XYZ):
```
8
Lattice="-3.022 0.884 7.168 4.864 -5.494 2.729 2.760 -0.408 5.490" Properties=species:S:1:pos:R:3 pbc="T T T"
Mo 0.000 0.000 0.000
Mo 0.330 -0.914 8.803
Mg -0.665 -0.214 6.370
Mg 3.427 -3.447 3.797
Mg 2.641 -1.899 7.761
Mg 3.802 -4.475 12.844
Zr 0.921 -2.305 4.948
Zr 4.273 -4.103 6.583
```


Entry 3:
# Mg2ZrMo

A geometry-optimized Mg2ZrMo structure (PBE, Alexandria).

Results
**Formation enthalpy at 0 K**: 0.263 eV/atom
**Total magnetic moment**: 0.0 μB per formula unit
**E above lowest polymorph**: 0.1192 eV per atom

Structure (extended XYZ):
```
4
Lattice="5.664 -0.007 -0.006 2.384 5.138 0.006 -3.332 -3.652 2.765" Properties=species:S:1:pos:R:3 pbc="T T T"
Mg 8.011 5.107 0.000
Mg 3.059 -0.623 1.380
Mo 3.973 2.533 0.000
Zr 1.748 2.159 1.386
```


Entry 4:
# MgZrMo2

A geometry-optimized MgZrMo2 structure (PBE, Alexandria).

Results
**Formation enthalpy at 0 K**: 0.174 eV/atom
**Total magnetic moment**: 0.0 μB per formula unit

Structure (extended XYZ):
```
4
Lattice="-0.400 -0.381 5.455 2.312 -4.437 2.242 0.957 4.463 -3.039" Properties=species:S:1:pos:R:3 pbc="T T T"
Mg 0.779 0.779 3.223
Mo 0.053 -0.133 0.212
Mo 2.069 -1.083 1.352
Zr 0.924 -2.330 3.721
```


Entry 5:
# Mg4ZrMo

A geometry-optimized Mg4ZrMo structure (PBE, Alexandria).

Results
**Formation enthalpy at 0 K**: 0.371 eV/atom
**Total magnetic moment**: 0.1 μB per formula unit

Structure (extended XYZ):
```
6
Lattice="3.702 -4.077 -0.007 -0.025 -3.750 4.033 -1.594 -5.165 -1.053" Properties=species:S:1:pos:R:3 pbc="T T T"
Mg 2.623 -6.908 1.113
Mg -0.010 -7.449 0.594
Mg 0.770 -6.746 3.122
Mg 0.783 -4.881 1.117
Zr 0.000 0.000 0.000
Mo 1.562 -9.744 2.230
```


Entry 6:
# Mg14ZrMo

A geometry-optimized Mg14ZrMo structure (PBE, Alexandria).

Results
**Formation enthalpy at 0 K**: 0.132 eV/atom
**Total magnetic moment**: 0.7 μB per formula unit
**E above lowest polymorph**: 0.0386 eV per atom

Structure (extended XYZ):
```
16
Lattice="-4.811 -2.485 -3.299 3.550 -3.715 3.715 -6.148 1.762 7.637" Properties=species:S:1:pos:R:3 pbc="T T T"
Mg 1.746 -1.900 1.844
Mg -6.101 -3.449 2.381
Mg 1.133 -4.910 2.045
Mg -5.476 -0.376 2.175
Mg -0.590 -3.106 0.242
Mg -3.717 -2.217 4.016
Mg 0.622 -3.062 4.573
Mg -2.340 -2.213 8.254
Mg -1.227 -1.127 2.638
Mg -4.190 -0.278 6.319
Mg -1.884 -4.357 2.855
Mg -4.847 -3.507 6.535
Mg -3.496 -2.473 0.867
Mg -6.700 -1.555 4.848
Zr 0.000 0.000 0.000
Mo -3.074 0.881 3.819
```